Density functional theory data (PBE) for TaRu3Cl after structural relaxation.

a = 4.8333 Å, b = 4.8333 Å, c = 4.8333 Å
α = 90.00°, β = 90.00°, γ = 90.00°
With the nearest neighbours (Å) after each atom.
Fractional positions:
1 Ta 0.0000 0.0000 0.0000  6 Ru 2.42
2 Ru 0.0000 0.0000 0.5000  2 Ta 2.42
3 Ru 0.0000 0.5000 0.0000  2 Ta 2.42
4 Ru 0.5000 0.0000 0.0000  2 Ta 2.42
5 Cl 0.5000 0.5000 0.5000  12 Ru 3.42

Output
Crystal system: cubic
Volume, Å³ per cell: 112.91
Formation energy from raw total energies, kJ/mol of formula units: 812
E_tot, eV/cell: -33.1
Relative energy among the computed polymorphs, meV per atom: 648